Record 1
The following is a PBE calculation of crystalline CaNd2Ge at its relaxed geometry, from the Alexandria database.

Results
ΔH_f (0 K) in eV/atom: -0.16
E_tot in eV per formula unit: -16.79
Energy above the most stable polymorph in this dataset in eV per atom: 0.123
Symmetry: No. 166
Fermi-level density of states in states/eV/atom: 1.273
Volume in Å³/atom: 39.626

Unit cell a=4.099 b=4.099 c=11.148 alpha=79.41 beta=79.41 gamma=60.00
Fractional positions:
Ge: 0.500 0.500 0.500
Nd: 0.115 0.115 0.655
Nd: 0.885 0.885 0.345
Ca: 0.000 0.000 0.000

Record 2
The following is a PBE calculation of crystalline YMn3Co at its relaxed geometry, from the Alexandria database.

Results
ΔH_f (0 K) in eV/atom: 2.09
E_tot in eV per formula unit: -30.64
Energy above the most stable polymorph in this dataset in eV per atom: 1.615
Symmetry: No. 221
Fermi-level density of states in states/eV/atom: 1.310
Volume in Å³/atom: 21.306

Unit cell a=4.740 b=4.740 c=4.740 alpha=90.00 beta=90.00 gamma=90.00
Site moments in Bohr magnetons follow the coordinates.
Fractional positions:
Y: 0.000 0.000 0.000  -0.40
Mn: 0.000 0.500 0.000  3.39
Mn: 0.000 0.000 0.500  2.94
Mn: 0.500 0.000 0.000  3.88
Co: 0.500 0.500 0.500  -0.05

Record 3
The following is a PBE calculation of crystalline TeRh2Se at its relaxed geometry, from the Alexandria database.

Results
E_tot in eV per formula unit: -22.45
Energy above the most stable polymorph in this dataset in eV per atom: 0.000
Symmetry: No. 8
Fermi-level density of states in states/eV/atom: 0.597
Volume in Å³/atom: 19.526

Unit cell a=4.346 b=4.346 c=5.410 alpha=88.09 beta=88.09 gamma=49.89
Fractional positions:
Rh: 0.935 0.935 0.020
Rh: 0.819 0.819 0.539
Se: 0.519 0.519 0.717
Te: 0.227 0.227 0.224

Record 4
The following is a PBE calculation of crystalline CrFeBr2 at its relaxed geometry, from the Alexandria database.

Results
E_tot in eV per formula unit: -20.18
Energy above the most stable polymorph in this dataset in eV per atom: 0.251
Symmetry: No. 44
Fermi-level density of states in states/eV/atom: 0.928
Volume in Å³/atom: 24.277

Unit cell a=7.964 b=7.964 c=7.964 alpha=155.38 beta=152.47 gamma=37.26
Site moments in Bohr magnetons follow the coordinates.
Fractional positions:
Br: 0.998 0.998 0.000  -0.01
Br: 0.750 0.250 0.500  0.11
Cr: 0.446 0.446 0.000  3.60
Fe: 0.305 0.805 0.500  2.96

Record 5
The following is a PBE calculation of crystalline TbNiP2Rh2 at its relaxed geometry, from the Alexandria database.

Results
ΔH_f (0 K) in eV/atom: -0.45
E_tot in eV per formula unit: -38.61
Symmetry: No. 123
Fermi-level density of states in states/eV/atom: 0.654
Volume in Å³/atom: 16.475

Unit cell a=4.266 b=4.266 c=5.431 alpha=90.00 beta=90.00 gamma=90.00
Fractional positions:
Tb: 0.000 0.000 0.500
Ni: 0.000 0.000 0.000
P: 0.500 0.000 0.000
P: 0.000 0.500 0.000
Rh: 0.500 0.500 0.751
Rh: 0.500 0.500 0.249

Record 6
The following is a PBE calculation of crystalline Pm2Tc3Mo at its relaxed geometry, from the Alexandria database.

Results
ΔH_f (0 K) in eV/atom: 0.04
E_tot in eV per formula unit: -51.20
Symmetry: No. 166
Fermi-level density of states in states/eV/atom: 1.142
Volume in Å³/atom: 19.615

Unit cell a=5.587 b=5.587 c=5.417 alpha=90.05 beta=121.01 gamma=119.98
Fractional positions:
Pm: 0.750 0.375 0.126
Pm: 0.250 0.625 0.874
Tc: 0.500 0.500 0.500
Tc: 0.000 0.000 0.500
Tc: 0.500 0.000 0.500
Mo: 0.000 0.000 0.000

Record 7
The following is a PBE calculation of crystalline GaPbN3 at its relaxed geometry, from the Alexandria database.

Results
E_tot in eV per formula unit: -21.04
Symmetry: No. 221
Fermi-level density of states in states/eV/atom: 0.462
Volume in Å³/atom: 17.120

Unit cell a=4.407 b=4.407 c=4.407 alpha=90.00 beta=90.00 gamma=90.00
Site moments in Bohr magnetons follow the coordinates.
Fractional positions:
Pb: 0.000 0.000 0.000  -0.02
Ga: 0.500 0.500 0.500  0.09
N: 0.000 0.500 0.000  1.05
N: 0.000 0.000 0.500  0.76
N: 0.500 0.000 0.000  0.97

Record 8
The following is a PBE calculation of crystalline SrCdTe at its relaxed geometry, from the Alexandria database.

Results
E_tot in eV per formula unit: -8.27
Energy above the most stable polymorph in this dataset in eV per atom: 0.000
Symmetry: No. 166
Fermi-level density of states in states/eV/atom: 0.209
Volume in Å³/atom: 40.259

Unit cell a=5.428 b=5.428 c=9.971 alpha=74.21 beta=74.21 gamma=60.00
Fractional positions:
Sr: 0.599 0.599 0.204
Sr: 0.401 0.401 0.796
Te: 0.282 0.282 0.154
Te: 0.718 0.718 0.846
Cd: 0.826 0.826 0.522
Cd: 0.174 0.174 0.478

The lowest Fermi-level density of states belongs to which entry? SrCdTe

Among the records above, which one has the highest volume? SrCdTe

E_tot of number 4 (CrFeBr2)? -20.18 eV per formula unit

Which formula does entry 5 have? TbNiP2Rh2